DFT (PBE-GGA) results for a relaxed structure of Dy2SnPt.

abc: 3.5352 3.5352 7.7100
angles: 90.00 90.00 90.00
Space group P4/mmm (No. 123)
Inequivalent atoms, fractional coordinates:
Dy  0.0000  0.0000  0.2186
Sn  0.5000  0.5000  0.5000
Pt  0.5000  0.5000  0.0000

Output
* energy of formation from the pure elements: -937.2 meV per atom
* electronic total energy: -5.75 eV per atom